Ba2InAg: relaxed, PBE-GGA.

Calculated values
N(E_F), states/eV per atom: 1.03
Symmetry: Imm2 (44)
Spin magnetization, μB per atom: 0.000
Energy of formation from the pure elements, eV per atom: -0.252

Cell: 6.9176 6.9176 6.9176 Å, 144.83 130.10 62.51°
Element x y z (fractional)
Ba  0.0327  0.0327  0.0000
Ba  0.7287  0.2287  0.5000
Ag  0.2863  0.7863  0.5000
In  0.4523  0.4523  0.0000